## one
First-principles (PBE-GGA) data for a geometry-optimized H3Pd2 structure, as listed in the Alexandria database.

## Properties
Fermi-level density of states (states/eV/f.u.): 2.0
Total magnetic moment (μB per cell): 0.0
Calculated density (Mg/m³): 8.9

Unit cell a=6.908 b=4.815 c=4.862 alpha=90.00 beta=90.00 gamma=90.00
Positions (direct):
1 H 0.000 0.037 0.250
2 H 0.000 0.963 0.750
3 H 0.144 0.387 0.618
4 H 0.144 0.613 0.118
5 H 0.356 0.113 0.118
6 H 0.356 0.887 0.618
7 H 0.500 0.463 0.750
8 H 0.500 0.537 0.250
9 H 0.644 0.113 0.382
10 H 0.644 0.887 0.882
11 H 0.856 0.387 0.882
12 H 0.856 0.613 0.382
13 Pd 0.123 0.249 0.988
14 Pd 0.123 0.751 0.488
15 Pd 0.377 0.251 0.488
16 Pd 0.377 0.749 0.988
17 Pd 0.623 0.251 0.012
18 Pd 0.623 0.749 0.512
19 Pd 0.877 0.249 0.512
20 Pd 0.877 0.751 0.012

## two
First-principles (PBE-GGA) data for a geometry-optimized H3Pd2 structure, as listed in the Alexandria database.

## Properties
Fermi-level density of states (states/eV/f.u.): 1.3
Total magnetic moment (μB per cell): 0.0
Calculated density (Mg/m³): 8.8

Unit cell a=4.985 b=4.985 c=4.985 alpha=124.49 beta=83.08 gamma=123.65
Positions (direct):
1 H 0.150 0.000 0.650
2 H 0.150 0.500 0.150
3 H 0.382 0.132 0.250
4 H 0.618 0.868 0.750
5 H 0.850 0.000 0.350
6 H 0.850 0.500 0.850
7 Pd 0.000 0.000 0.000
8 Pd 0.245 0.495 0.750
9 Pd 0.500 0.000 0.500
10 Pd 0.755 0.505 0.250

Verdict on stability: one comes out on top.

## one
First-principles (PBE-GGA) data for a geometry-optimized HPd5 structure, as listed in the Alexandria database.

## Properties
Fermi-level density of states (states/eV/f.u.): 8.0
Total magnetic moment (μB per cell): 0.0
Calculated density (Mg/m³): 10.1

Unit cell a=7.121 b=7.121 c=4.614 alpha=90.00 beta=90.00 gamma=157.99
Positions (direct):
1 H 0.000 0.000 0.000
2 Pd 0.169 0.831 0.500
3 Pd 0.396 0.604 0.000
4 Pd 0.500 0.500 0.500
5 Pd 0.604 0.396 0.000
6 Pd 0.831 0.169 0.500

## two
First-principles (PBE-GGA) data for a geometry-optimized HPd5 structure, as listed in the Alexandria database.

## Properties
Fermi-level density of states (states/eV/f.u.): 12.5
Total magnetic moment (μB per cell): 0.0
Calculated density (Mg/m³): 11.0

Unit cell a=2.820 b=4.915 c=6.345 alpha=97.27 beta=102.58 gamma=106.28
Positions (direct):
1 H 0.000 0.000 0.000
2 Pd 0.051 0.457 0.641
3 Pd 0.259 0.257 0.255
4 Pd 0.442 0.053 0.827
5 Pd 0.646 0.849 0.438
6 Pd 0.841 0.636 0.042

Verdict on stability: two comes out on top.

## one
First-principles (PBE-GGA) data for a geometry-optimized HPd structure, as listed in the Alexandria database.

## Properties
Fermi-level density of states (states/eV/f.u.): 1.0
Total magnetic moment (μB per cell): 0.0
Calculated density (Mg/m³): 7.5

Unit cell a=5.232 b=5.232 c=5.232 alpha=90.00 beta=90.00 gamma=90.00
Positions (direct):
1 H 0.000 0.250 0.500
2 H 0.000 0.750 0.500
3 H 0.250 0.500 0.000
4 H 0.500 0.000 0.250
5 H 0.500 0.000 0.750
6 H 0.750 0.500 0.000
7 Pd 0.000 0.500 0.250
8 Pd 0.000 0.500 0.750
9 Pd 0.250 0.000 0.500
10 Pd 0.500 0.250 0.000
11 Pd 0.500 0.750 0.000
12 Pd 0.750 0.000 0.500

## two
First-principles (PBE-GGA) data for a geometry-optimized HPd structure, as listed in the Alexandria database.

## Properties
Fermi-level density of states (states/eV/f.u.): 0.6
Total magnetic moment (μB per cell): 0.0
Calculated density (Mg/m³): 10.0

Unit cell a=2.970 b=2.970 c=8.048 alpha=90.00 beta=90.00 gamma=90.00
Positions (direct):
1 H 0.047 0.047 0.000
2 H 0.453 0.547 0.750
3 H 0.547 0.453 0.250
4 H 0.953 0.953 0.500
5 Pd 0.005 0.995 0.750
6 Pd 0.495 0.495 0.000
7 Pd 0.505 0.505 0.500
8 Pd 0.995 0.005 0.250

Verdict on stability: two comes out on top.

## one
First-principles (PBE-GGA) data for a geometry-optimized HPd structure, as listed in the Alexandria database.

## Properties
Fermi-level density of states (states/eV/f.u.): 0.4
Total magnetic moment (μB per cell): 0.0
Calculated density (Mg/m³): 9.5

Unit cell a=5.135 b=4.881 c=4.397 alpha=66.98 beta=61.02 gamma=52.00
Positions (direct):
1 H 0.026 0.026 0.724
2 H 0.276 0.276 0.974
3 H 0.724 0.724 0.026
4 H 0.974 0.974 0.276
5 Pd 0.129 0.621 0.621
6 Pd 0.379 0.871 0.871
7 Pd 0.621 0.129 0.129
8 Pd 0.871 0.379 0.379

## two
First-principles (PBE-GGA) data for a geometry-optimized HPd structure, as listed in the Alexandria database.

## Properties
Fermi-level density of states (states/eV/f.u.): 0.5
Total magnetic moment (μB per cell): 0.0
Calculated density (Mg/m³): 9.9

Unit cell a=2.881 b=2.881 c=2.990 alpha=120.35 beta=120.35 gamma=84.90
Positions (direct):
1 H 0.000 0.000 0.000
2 Pd 0.371 0.371 0.853

Verdict on stability: two comes out on top.

## one
First-principles (PBE-GGA) data for a geometry-optimized H3Pd4 structure, as listed in the Alexandria database.

## Properties
Fermi-level density of states (states/eV/f.u.): 7.7
Total magnetic moment (μB per cell): 0.0
Calculated density (Mg/m³): 10.3

Unit cell a=9.396 b=9.396 c=9.396 alpha=18.03 beta=18.03 gamma=18.03
Positions (direct):
1 H 0.000 0.000 0.000
2 H 0.235 0.235 0.235
3 H 0.765 0.765 0.765
4 Pd 0.125 0.125 0.125
5 Pd 0.374 0.374 0.374
6 Pd 0.626 0.626 0.626
7 Pd 0.875 0.875 0.875

## two
First-principles (PBE-GGA) data for a geometry-optimized H3Pd4 structure, as listed in the Alexandria database.

## Properties
Fermi-level density of states (states/eV/f.u.): 1.4
Total magnetic moment (μB per cell): 0.0
Calculated density (Mg/m³): 10.0

Unit cell a=4.992 b=4.992 c=5.187 alpha=100.14 beta=100.14 gamma=33.93
Positions (direct):
1 H 0.000 0.000 0.000
2 H 0.323 0.323 0.419
3 H 0.677 0.677 0.581
4 Pd 0.121 0.121 0.372
5 Pd 0.375 0.375 0.108
6 Pd 0.625 0.625 0.892
7 Pd 0.879 0.879 0.628

Verdict on stability: two comes out on top.

## one
First-principles (PBE-GGA) data for a geometry-optimized H4Pd5 structure, as listed in the Alexandria database.

## Properties
Fermi-level density of states (states/eV/f.u.): 1.5
Total magnetic moment (μB per cell): 0.0
Calculated density (Mg/m³): 10.3

Unit cell a=5.030 b=5.030 c=5.030 alpha=99.52 beta=99.52 gamma=132.01
Positions (direct):
1 H 0.112 0.282 0.394
2 H 0.282 0.888 0.170
3 H 0.718 0.112 0.830
4 H 0.888 0.718 0.606
5 Pd 0.000 0.000 0.000
6 Pd 0.200 0.604 0.803
7 Pd 0.396 0.200 0.596
8 Pd 0.604 0.800 0.404
9 Pd 0.800 0.396 0.197

## two
First-principles (PBE-GGA) data for a geometry-optimized H4Pd5 structure, as listed in the Alexandria database.

## Properties
Fermi-level density of states (states/eV/f.u.): 5.2
Total magnetic moment (μB per cell): 0.0
Calculated density (Mg/m³): 9.1

Unit cell a=5.939 b=5.939 c=2.791 alpha=91.25 beta=91.25 gamma=86.73
Positions (direct):
1 H 0.014 0.704 0.817
2 H 0.296 0.986 0.183
3 H 0.704 0.014 0.817
4 H 0.986 0.296 0.183
5 Pd 0.000 0.000 0.000
6 Pd 0.274 0.274 0.469
7 Pd 0.327 0.673 0.000
8 Pd 0.673 0.327 0.000
9 Pd 0.726 0.726 0.531

Verdict on stability: one comes out on top.

## one
First-principles (PBE-GGA) data for a geometry-optimized H5Pd4 structure, as listed in the Alexandria database.

## Properties
Fermi-level density of states (states/eV/f.u.): 2.7
Total magnetic moment (μB per cell): 0.0
Calculated density (Mg/m³): 8.6

Unit cell a=5.004 b=5.004 c=5.004 alpha=98.72 beta=98.72 gamma=134.17
Positions (direct):
1 H 0.000 0.000 0.000
2 H 0.193 0.635 0.828
3 H 0.365 0.193 0.558
4 H 0.635 0.807 0.442
5 H 0.807 0.365 0.172
6 Pd 0.094 0.291 0.385
7 Pd 0.291 0.906 0.196
8 Pd 0.709 0.094 0.804
9 Pd 0.906 0.709 0.615

## two
First-principles (PBE-GGA) data for a geometry-optimized H5Pd4 structure, as listed in the Alexandria database.

## Properties
Fermi-level density of states (states/eV/f.u.): 2.0
Total magnetic moment (μB per cell): 0.0
Calculated density (Mg/m³): 8.8

Unit cell a=5.637 b=5.637 c=2.946 alpha=90.87 beta=90.87 gamma=60.37
Positions (direct):
1 H 0.000 0.000 0.000
2 H 0.269 0.269 0.548
3 H 0.388 0.612 0.000
4 H 0.612 0.388 0.000
5 H 0.731 0.731 0.452
6 Pd 0.112 0.630 0.738
7 Pd 0.370 0.888 0.262
8 Pd 0.630 0.112 0.738
9 Pd 0.888 0.370 0.262

Verdict on stability: one comes out on top.

## one
First-principles (PBE-GGA) data for a geometry-optimized Pm2HPd structure, as listed in the Alexandria database.

## Properties
Fermi-level density of states (states/eV/f.u.): 3.7
Total magnetic moment (μB per cell): 0.0
Calculated density (Mg/m³): 8.2

Unit cell a=3.368 b=3.368 c=7.125 alpha=90.00 beta=90.00 gamma=90.00
Positions (direct):
1 Pm 0.000 0.000 0.235
2 Pm 0.000 0.000 0.765
3 H 0.500 0.500 0.000
4 Pd 0.500 0.500 0.500

## two
First-principles (PBE-GGA) data for a geometry-optimized Pm2HPd structure, as listed in the Alexandria database.

## Properties
Fermi-level density of states (states/eV/f.u.): 2.9
Total magnetic moment (μB per cell): 0.0
Calculated density (Mg/m³): 7.5

Unit cell a=6.719 b=6.719 c=6.719 alpha=34.84 beta=34.84 gamma=34.84
Positions (direct):
1 Pm 0.242 0.242 0.242
2 Pm 0.758 0.758 0.758
3 H 0.500 0.500 0.500
4 Pd 0.000 0.000 0.000

## three
First-principles (PBE-GGA) data for a geometry-optimized Pm2HPd structure, as listed in the Alexandria database.

## Properties
Fermi-level density of states (states/eV/f.u.): 1.6
Total magnetic moment (μB per cell): 0.0
Calculated density (Mg/m³): 7.5

Unit cell a=7.270 b=7.270 c=7.029 alpha=111.47 beta=111.47 gamma=30.74
Positions (direct):
1 Pm 0.020 0.020 0.268
2 Pm 0.292 0.292 0.268
3 Pm 0.708 0.708 0.732
4 Pm 0.980 0.980 0.732
5 H 0.115 0.115 0.613
6 H 0.885 0.885 0.387
7 Pd 0.384 0.384 0.931
8 Pd 0.616 0.616 0.069

## four
First-principles (PBE-GGA) data for a geometry-optimized Pm2HPd structure, as listed in the Alexandria database.

## Properties
Fermi-level density of states (states/eV/f.u.): 3.1
Total magnetic moment (μB per cell): 0.0
Calculated density (Mg/m³): 7.3

Unit cell a=7.209 b=7.209 c=7.209 alpha=31.50 beta=31.50 gamma=31.50
Positions (direct):
1 Pm 0.000 0.000 0.000
2 Pm 0.484 0.484 0.484
3 H 0.112 0.112 0.112
4 Pd 0.246 0.246 0.246

Verdict on stability: three comes out on top.